# 1
{"formula": "LaPdPb", "functional": "SCAN", "state": "single point on PBEsol structure", "formation_energy_mev_per_atom": -928, "dos_ef_per_ev_cell": 2.481, "crystal_system": "hexagonal", "spacegroup": "P-62m (189)", "lattice": [[4.169, 0.000, 0.000], [0.000, 7.739, 0.000], [0.000, -3.869, 6.702]], "species": ["Pb", "Pb", "Pb", "Pd", "Pd", "Pd", "La", "La", "La"], "fractional_positions": [[0.000, 0.746, 0.000], [0.000, 0.000, 0.746], [0.000, 0.254, 0.254], [0.000, 0.333, 0.667], [0.000, 0.667, 0.333], [0.500, 0.000, 0.000], [0.500, 0.412, 0.000], [0.500, 0.000, 0.412], [0.500, 0.588, 0.588]]}

# 2
{"formula": "Rb3Mo2Br9", "functional": "SCAN", "state": "single point on PBEsol structure", "crystal_system": "hexagonal", "spacegroup": "P6_3/mmc (194)", "formation_energy_uncorrected_kj_per_mol_fu": -1708, "lattice": [[7.418, 0.000, 0.000], [-3.709, 6.424, 0.000], [0.000, 0.000, 18.204]], "species": ["Rb", "Rb", "Rb", "Rb", "Rb", "Rb", "Mo", "Mo", "Mo", "Mo", "Br", "Br", "Br", "Br", "Br", "Br", "Br", "Br", "Br", "Br", "Br", "Br", "Br", "Br", "Br", "Br", "Br", "Br"], "fractional_positions": [[0.000, 0.000, 0.250], [0.000, 0.000, 0.750], [0.333, 0.667, 0.436], [0.667, 0.333, 0.936], [0.333, 0.667, 0.064], [0.667, 0.333, 0.564], [0.333, 0.667, 0.673], [0.667, 0.333, 0.173], [0.667, 0.333, 0.327], [0.333, 0.667, 0.827], [0.828, 0.172, 0.092], [0.344, 0.172, 0.092], [0.828, 0.656, 0.092], [0.172, 0.344, 0.592], [0.656, 0.828, 0.908], [0.172, 0.828, 0.592], [0.656, 0.828, 0.592], [0.828, 0.172, 0.408], [0.828, 0.656, 0.408], [0.172, 0.344, 0.908], [0.005, 0.502, 0.250], [0.502, 0.498, 0.750], [0.502, 0.005, 0.750], [0.498, 0.995, 0.250], [0.498, 0.502, 0.250], [0.995, 0.498, 0.750], [0.344, 0.172, 0.408], [0.172, 0.828, 0.908]]}

# 3
{"formula": "Be2PPd2", "functional": "SCAN", "state": "single point on PBEsol structure", "formation_energy_mev_per_atom": -268, "dos_ef_per_ev_cell": 3.677, "crystal_system": "tetragonal", "spacegroup": "P4/mbm (127)", "lattice": [[2.779, 0.000, 0.000], [0.000, 6.591, 0.000], [0.000, 0.000, 6.591]], "species": ["P", "P", "Pd", "Pd", "Pd", "Pd", "Be", "Be", "Be", "Be"], "fractional_positions": [[0.000, 0.000, 0.000], [0.000, 0.500, 0.500], [0.000, 0.341, 0.841], [0.000, 0.841, 0.659], [0.000, 0.659, 0.159], [0.000, 0.159, 0.341], [0.500, 0.134, 0.634], [0.500, 0.634, 0.866], [0.500, 0.866, 0.366], [0.500, 0.366, 0.134]]}

# 4
{"formula": "BaSbTe2As", "functional": "SCAN", "state": "single point on PBEsol structure", "dos_ef_per_ev_cell": 4.786, "crystal_system": "tetragonal", "spacegroup": "P4/mmm (123)", "formation_energy_uncorrected_kj_per_mol_fu": -208, "lattice": [[5.357, 0.000, 0.000], [0.000, 5.523, 0.000], [0.000, 0.000, 5.523]], "species": ["Sb", "As", "Te", "Te", "Ba"], "fractional_positions": [[0.500, 0.000, 0.000], [0.000, 0.000, 0.000], [0.000, 0.000, 0.500], [0.000, 0.500, 0.000], [0.500, 0.500, 0.500]]}

# 5
{"formula": "Ba2CoHgAu", "functional": "SCAN", "state": "single point on PBEsol structure", "formation_energy_mev_per_atom": -86, "dos_ef_per_ev_cell": 3.121, "crystal_system": "tetragonal", "spacegroup": "P4/mmm (123)", "lattice": [[4.878, 0.000, 0.000], [0.000, 5.548, 0.000], [0.000, 0.000, 5.548]], "species": ["Co", "Au", "Hg", "Ba", "Ba"], "fractional_positions": [[0.000, 0.000, 0.000], [0.500, 0.500, 0.500], [0.500, 0.000, 0.000], [0.000, 0.000, 0.500], [0.000, 0.500, 0.000]]}

# 6
{"formula": "ZnCrHg", "functional": "SCAN", "state": "single point on PBEsol structure", "formation_energy_mev_per_atom": 144, "dos_ef_per_ev_cell": 1.204, "crystal_system": "tetragonal", "spacegroup": "I4mm (107)", "polymorph_energy_mev_per_atom": 0, "lattice": [[-2.123, -1.390, -1.619], [1.284, -2.657, 0.596], [-2.635, 1.538, 4.934]], "species": ["Cr", "Hg", "Zn"], "fractional_positions": [[0.011, 0.011, 0.021], [0.334, 0.334, 0.669], [0.655, 0.655, 0.310]]}

# 7
{"formula": "HfCdP2", "functional": "SCAN", "state": "single point on PBEsol structure", "formation_energy_mev_per_atom": -489, "crystal_system": "tetragonal", "spacegroup": "I-42d (122)", "lattice": [[-1.255, 2.771, -5.006], [3.235, -3.884, -2.961], [-5.659, -2.806, 3.293]], "species": ["P", "P", "P", "P", "Hf", "Hf", "Cd", "Cd"], "fractional_positions": [[0.363, 0.875, 0.250], [0.887, 0.375, 0.250], [0.125, 0.113, 0.750], [0.625, 0.637, 0.750], [0.250, 0.750, 0.500], [0.000, 0.000, 0.000], [0.750, 0.250, 0.500], [0.500, 0.500, 0.000]]}

# 8
{"formula": "YPt2", "functional": "SCAN", "state": "single point on PBEsol structure", "formation_energy_mev_per_atom": -1156, "dos_ef_per_ev_cell": 2.506, "crystal_system": "monoclinic", "spacegroup": "C2/m (12)", "lattice": [[4.251, 0.000, 0.000], [-2.126, 4.626, -0.019], [0.000, -1.589, 5.486]], "species": ["Y", "Y", "Pt", "Pt", "Pt", "Pt"], "fractional_positions": [[0.644, 0.287, 0.303], [0.356, 0.713, 0.697], [0.678, 0.356, 0.824], [0.000, 0.000, 0.000], [0.322, 0.644, 0.176], [0.000, 0.000, 0.500]]}

# 9
{"formula": "BaTaRe2Br", "functional": "SCAN", "state": "single point on PBEsol structure", "dos_ef_per_ev_cell": 5.749, "crystal_system": "tetragonal", "spacegroup": "P4/mmm (123)", "formation_energy_uncorrected_kj_per_mol_fu": 1872, "lattice": [[5.032, 0.000, 0.000], [0.000, 5.032, 0.000], [0.000, 0.000, 5.237]], "species": ["Re", "Re", "Ba", "Br", "Ta"], "fractional_positions": [[0.000, 0.500, 0.000], [0.500, 0.000, 0.000], [0.000, 0.000, 0.000], [0.500, 0.500, 0.500], [0.000, 0.000, 0.500]]}

# 10
{"formula": "BaInRh", "functional": "SCAN", "state": "single point on PBEsol structure", "formation_energy_mev_per_atom": -397, "dos_ef_per_ev_cell": 1.410, "crystal_system": "hexagonal", "spacegroup": "P-6m2 (187)", "lattice": [[-3.842, -2.090, -1.206], [3.858, -2.364, 0.341], [-0.955, -0.897, 4.596]], "species": ["Rh", "Ba", "In"], "fractional_positions": [[0.667, 0.333, 0.500], [0.000, 0.000, 0.000], [0.333, 0.667, 0.500]]}

# 11
{"formula": "NaBMoC2", "functional": "SCAN", "state": "single point on PBEsol structure", "formation_energy_mev_per_atom": 2372, "dos_ef_per_ev_cell": 3.402, "crystal_system": "tetragonal", "spacegroup": "P4/mmm (123)", "lattice": [[-1.050, -3.028, -2.325], [2.980, 0.857, -2.462], [3.408, -3.431, 2.930]], "species": ["Na", "Mo", "B", "C", "C"], "fractional_positions": [[0.000, 0.000, 0.500], [0.000, 0.000, 0.000], [0.500, 0.500, 0.500], [0.000, 0.500, 0.000], [0.500, 0.000, 0.000]]}

# 12
{"formula": "MnZn2Cr", "functional": "SCAN", "state": "single point on PBEsol structure", "formation_energy_mev_per_atom": 82, "dos_ef_per_ev_cell": 2.491, "crystal_system": "orthorhombic", "spacegroup": "Cmm2 (35)", "polymorph_energy_mev_per_atom": 97, "lattice": [[-1.368, -2.071, 0.238], [2.418, -0.560, -0.233], [0.887, 0.369, 8.326]], "species": ["Cr", "Mn", "Zn", "Zn"], "fractional_positions": [[0.000, 0.000, 0.483], [0.500, 0.500, 0.265], [0.000, 0.000, 0.013], [0.500, 0.500, 0.739]]}

# 13
{"formula": "Ca3AlP3", "functional": "SCAN", "state": "single point on PBEsol structure", "formation_energy_mev_per_atom": -1251, "crystal_system": "orthorhombic", "spacegroup": "Pnma (62)", "polymorph_energy_mev_per_atom": 0, "lattice": [[4.044, 0.000, 0.000], [0.000, 11.873, 0.000], [0.000, 0.000, 12.921]], "species": ["Al", "Al", "Al", "Al", "Ca", "Ca", "Ca", "Ca", "Ca", "Ca", "Ca", "Ca", "Ca", "Ca", "Ca", "Ca", "P", "P", "P", "P", "P", "P", "P", "P", "P", "P", "P", "P"], "fractional_positions": [[0.750, 0.943, 0.202], [0.250, 0.557, 0.702], [0.250, 0.057, 0.798], [0.750, 0.443, 0.298], [0.750, 0.727, 0.790], [0.250, 0.773, 0.290], [0.250, 0.273, 0.210], [0.750, 0.227, 0.710], [0.750, 0.146, 0.000], [0.250, 0.354, 0.500], [0.250, 0.854, 0.000], [0.750, 0.646, 0.500], [0.750, 0.930, 0.605], [0.250, 0.570, 0.105], [0.250, 0.070, 0.395], [0.750, 0.430, 0.895], [0.750, 0.958, 0.852], [0.250, 0.542, 0.352], [0.250, 0.042, 0.148], [0.750, 0.458, 0.648], [0.750, 0.901, 0.384], [0.250, 0.599, 0.884], [0.250, 0.099, 0.616], [0.750, 0.401, 0.116], [0.750, 0.757, 0.126], [0.250, 0.743, 0.626], [0.250, 0.243, 0.874], [0.750, 0.257, 0.374]]}

# 14
{"formula": "YTi2Pt2", "functional": "SCAN", "state": "single point on PBEsol structure", "formation_energy_mev_per_atom": -1155, "dos_ef_per_ev_cell": 3.710, "crystal_system": "tetragonal", "spacegroup": "I4/mmm (139)", "lattice": [[-3.660, -0.404, 2.201], [1.094, -4.005, 1.083], [3.667, 4.017, 2.655]], "species": ["Y", "Pt", "Pt", "Ti", "Ti"], "fractional_positions": [[0.000, 0.000, 0.000], [0.377, 0.377, 0.753], [0.623, 0.623, 0.247], [0.250, 0.750, 0.500], [0.750, 0.250, 0.500]]}

# 15
{"formula": "LiSi2NiO6", "functional": "SCAN", "state": "single point on PBEsol structure", "crystal_system": "orthorhombic", "spacegroup": "C222 (21)", "formation_energy_uncorrected_kj_per_mol_fu": -2291, "lattice": [[-4.339, -1.530, 2.654], [4.813, -1.778, 1.530], [0.528, 4.303, 3.343]], "species": ["Ni", "Si", "Si", "O", "O", "O", "O", "O", "O", "Li"], "fractional_positions": [[0.000, 0.000, 0.500], [0.000, 0.500, 0.832], [0.500, 0.500, 0.168], [0.261, 0.523, 0.000], [0.739, 0.477, 0.000], [0.867, 0.212, 0.663], [0.345, 0.212, 0.337], [0.655, 0.788, 0.337], [0.133, 0.788, 0.663], [0.500, 0.000, 0.500]]}

# 16
{"formula": "Ba2Ge2Bi", "functional": "SCAN", "state": "single point on PBEsol structure", "formation_energy_mev_per_atom": -642, "dos_ef_per_ev_cell": 3.607, "crystal_system": "tetragonal", "spacegroup": "P4/mbm (127)", "lattice": [[4.924, 0.000, 0.000], [0.000, 7.965, 0.000], [0.000, 0.000, 7.965]], "species": ["Ge", "Ge", "Ge", "Ge", "Bi", "Bi", "Ba", "Ba", "Ba", "Ba"], "fractional_positions": [[0.000, 0.388, 0.888], [0.000, 0.888, 0.612], [0.000, 0.612, 0.112], [0.000, 0.112, 0.388], [0.000, 0.000, 0.000], [0.000, 0.500, 0.500], [0.500, 0.181, 0.681], [0.500, 0.681, 0.819], [0.500, 0.819, 0.319], [0.500, 0.319, 0.181]]}

# 17
{"formula": "Rb3ErCl6", "functional": "SCAN", "state": "single point on PBEsol structure", "dos_ef_per_ev_cell": 0.000, "crystal_system": "cubic", "spacegroup": "Fm-3m (225)", "formation_energy_uncorrected_kj_per_mol_fu": -2232, "lattice": [[7.935, 0.000, 0.000], [3.968, 6.872, 0.000], [3.968, 2.291, 6.479]], "species": ["Cl", "Cl", "Cl", "Cl", "Cl", "Cl", "Rb", "Rb", "Rb", "Er"], "fractional_positions": [[0.771, 0.229, 0.229], [0.229, 0.771, 0.229], [0.229, 0.229, 0.771], [0.771, 0.229, 0.771], [0.771, 0.771, 0.229], [0.229, 0.771, 0.771], [0.500, 0.500, 0.500], [0.750, 0.750, 0.750], [0.250, 0.250, 0.250], [0.000, 0.000, 0.000]]}

# 18
{"formula": "SmAgS2", "functional": "SCAN", "state": "single point on PBEsol structure", "dos_ef_per_ev_cell": 0.000, "crystal_system": "monoclinic", "spacegroup": "P2_1 (4)", "formation_energy_uncorrected_kj_per_mol_fu": -584, "lattice": [[-7.051, -1.478, 2.593], [2.700, -0.320, 7.162], [-2.098, 12.366, 1.343]], "species": ["Sm", "Sm", "Sm", "Sm", "Sm", "Sm", "Sm", "Sm", "Ag", "Ag", "Ag", "Ag", "Ag", "Ag", "Ag", "Ag", "S", "S", "S", "S", "S", "S", "S", "S", "S", "S", "S", "S", "S", "S", "S", "S"], "fractional_positions": [[0.998, 0.748, 0.997], [0.498, 0.252, 0.003], [0.245, 0.000, 0.247], [0.745, 0.000, 0.753], [0.749, 0.500, 0.253], [0.249, 0.500, 0.747], [0.496, 0.752, 0.497], [0.996, 0.248, 0.503], [0.268, 0.506, 0.170], [0.768, 0.494, 0.830], [0.728, 0.005, 0.330], [0.228, 0.995, 0.670], [0.485, 0.775, 0.921], [0.985, 0.225, 0.079], [0.011, 0.723, 0.422], [0.511, 0.277, 0.578], [0.709, 0.037, 0.533], [0.209, 0.963, 0.467], [0.274, 0.473, 0.526], [0.774, 0.527, 0.474], [0.971, 0.723, 0.776], [0.471, 0.277, 0.224], [0.035, 0.711, 0.218], [0.535, 0.289, 0.782], [0.524, 0.777, 0.276], [0.024, 0.223, 0.724], [0.959, 0.211, 0.282], [0.459, 0.789, 0.718], [0.220, 0.027, 0.026], [0.720, 0.973, 0.974], [0.785, 0.463, 0.033], [0.285, 0.537, 0.967]]}

# 19
{"formula": "LiEr2Ir", "functional": "SCAN", "state": "single point on PBEsol structure", "formation_energy_mev_per_atom": -765, "dos_ef_per_ev_cell": 2.014, "crystal_system": "cubic", "spacegroup": "Fm-3m (225)", "lattice": [[4.798, 0.000, 0.000], [2.399, 4.156, 0.000], [2.399, 1.385, 3.918]], "species": ["Er", "Er", "Ir", "Li"], "fractional_positions": [[0.250, 0.250, 0.250], [0.750, 0.750, 0.750], [0.500, 0.500, 0.500], [0.000, 0.000, 0.000]]}

# 20
{"formula": "KTcH3", "functional": "SCAN", "state": "single point on PBEsol structure", "dos_ef_per_ev_cell": 0.521, "crystal_system": "cubic", "spacegroup": "Pm-3m (221)", "e_tot_ev_per_atom": -9.1437, "lattice": [[4.210, 0.000, 0.000], [0.000, 4.210, 0.000], [0.000, 0.000, 4.210]], "species": ["H", "H", "H", "K", "Tc"], "fractional_positions": [[0.000, 0.500, 0.000], [0.000, 0.000, 0.500], [0.500, 0.000, 0.000], [0.000, 0.000, 0.000], [0.500, 0.500, 0.500]]}